Entry from the Alexandria database: a relaxed structure of Mn5FeW (GGA-PBE).

Cell: 7.585 4.562 9.533 Å, 90.00 90.00 90.00°
Space group Pnma (No. 62)
Asymmetric unit:
Mn (0.052, 0.250, 0.076) [4 per cell]
Mn (0.075, 0.513, 0.307) [8 per cell]
Mn (0.092, 0.750, 0.524) [4 per cell]
Mn (0.187, 0.750, 0.757) [4 per cell]
Fe (0.134, 0.250, 0.848) [4 per cell]
W (0.245, 0.750, 0.063) [4 per cell]

Values from the calculation:
**DOS(E_F)**: 29.24 states/eV/cell
**Energy relative to the elements**: 117 meV per atom
**Total magnetization**: 7.770 Bohr magnetons per cell